Record 1
Density functional theory data (GGA-PBEsol) for a relaxed Li3AsO crystal.

Cell and atoms, written as extended XYZ:
```
5
Lattice="3.886 0.000 0.000 0.000 3.886 0.000 0.000 0.000 3.886" Properties=species:S:1:pos:R:3 pbc="T T T"
Li 0.000 1.943 0.000
Li 1.943 0.000 0.000
Li 0.000 0.000 1.943
As 1.943 1.943 1.943
O 0.000 0.000 0.000
```

Summary:
formation energy without anion corrections	-1007	meV/atom
polymorph energy (0 for the lowest one)	0	meV/atom
final energy	-21.289	eV per cell
crystal system	cubic
magnetization	0.00	μB per formula unit

***

Record 2
Density functional theory data (GGA-PBEsol) for a relaxed Li3AsO4 crystal.

Cell and atoms, written as extended XYZ:
```
32
Lattice="5.062 0.000 0.000 0.000 6.285 0.000 0.000 0.000 10.786" Properties=species:S:1:pos:R:3 pbc="T T T"
Li 1.545 4.714 9.942
Li 4.075 1.571 6.238
Li 1.568 6.261 1.789
Li 3.517 1.571 0.845
Li 4.099 0.024 3.604
Li 0.986 4.714 4.549
Li 3.494 0.024 8.997
Li 0.963 3.166 7.182
Li 0.963 6.261 7.182
Li 3.494 3.119 8.997
Li 4.099 3.119 3.604
Li 1.568 3.166 1.789
As 3.477 4.714 6.327
As 0.946 1.571 9.852
As 4.116 4.714 0.934
As 1.585 1.571 4.459
O 3.551 4.714 10.108
O 1.503 2.967 9.032
O 4.041 4.714 4.715
O 3.303 1.571 4.456
O 3.558 3.317 1.754
O 1.020 1.571 6.071
O 1.758 4.714 6.330
O 4.034 6.110 7.147
O 1.503 0.175 9.032
O 0.772 4.714 0.937
O 3.558 6.110 1.754
O 4.289 1.571 9.849
O 4.034 3.317 7.147
O 1.027 2.967 3.639
O 1.511 1.571 0.678
O 1.027 0.175 3.639
```

Summary:
formation energy without anion corrections	-1923	meV/atom
polymorph energy (0 for the lowest one)	5	meV/atom
final energy	-189.558	eV per cell
crystal system	orthorhombic
magnetization	0.00	μB per formula unit

***

Record 3
Density functional theory data (GGA-PBEsol) for a relaxed LiAsO3 crystal.

Cell and atoms, written as extended XYZ:
```
10
Lattice="-3.955 -1.841 -2.105 -0.706 -4.792 -0.056 -3.876 -1.917 3.385" Properties=species:S:1:pos:R:3 pbc="T T T"
O -5.298 -5.705 1.651
O -3.239 -2.845 -0.427
O -5.858 -3.104 1.148
O -4.942 -4.781 -1.252
O -3.594 -3.769 2.476
O -2.678 -5.446 0.076
As -3.145 -4.417 -1.374
As -5.392 -4.133 2.598
Li -2.945 -2.035 1.740
Li -5.591 -6.515 -0.516
```

Summary:
formation energy without anion corrections	-1627	meV/atom
final energy	-61.911	eV per cell
crystal system	trigonal
magnetization	0.00	μB per formula unit